Entry 1:
Er3Co7B2: optimized geometry, PBE-GGA.

CIF file:
```
data_Er3Co7B2
_symmetry_space_group_name_H-M 'R -3 m'
_symmetry_Int_Tables_number 166
_symmetry_space_group_name_Hall '-R 3 2"'
_cell_length_a 5.0330
_cell_length_b 5.0330
_cell_length_c 21.0947
_cell_angle_alpha 90.00
_cell_angle_beta 90.00
_cell_angle_gamma 120.00
loop_
_atom_site_label
_atom_site_fract_x
_atom_site_fract_y
_atom_site_fract_z
Er1 0.0000 0.0000 0.0000
Er2 0.0000 0.0000 0.1436
Co1 0.0000 0.0000 0.5000
Co2 0.0030 0.5015 0.0690
B1 0.0000 0.0000 0.3328
```


Entry 2:
ErCo8B4: optimized geometry, PBE-GGA.

CIF file:
```
data_ErCo8B4
_symmetry_space_group_name_H-M 'I 4/m m m'
_symmetry_Int_Tables_number 139
_symmetry_space_group_name_Hall '-I 4 2'
_cell_length_a 7.5678
_cell_length_b 7.5678
_cell_length_c 4.3737
_cell_angle_alpha 90.00
_cell_angle_beta 90.00
_cell_angle_gamma 90.00
loop_
_atom_site_label
_atom_site_fract_x
_atom_site_fract_y
_atom_site_fract_z
Er1 0.0000 0.0000 0.0000
Co1 0.0000 0.2274 0.5000
Co2 0.0000 0.3453 0.0000
B1 0.2500 0.2500 0.2500
```


Entry 3:
ErCo2B: optimized geometry, PBE-GGA.

CIF file:
```
data_ErCo2B
_symmetry_space_group_name_H-M 'C 1 2/c 1'
_symmetry_Int_Tables_number 15
_cell_length_a 5.2441
_cell_length_b 8.7530
_cell_length_c 5.0271
_cell_angle_alpha 90.00
_cell_angle_beta 114.08
_cell_angle_gamma 90.00
loop_
_symmetry_equiv_pos_as_xyz
'x,y,z'
'-x,-y,-z'
'-x,y,-z+1/2'
'x,-y,z+1/2'
'x+1/2,y+1/2,z'
'-x+1/2,-y+1/2,-z'
'-x+1/2,y+1/2,-z+1/2'
'x+1/2,-y+1/2,z+1/2'
loop_
_atom_site_label
_atom_site_fract_x
_atom_site_fract_y
_atom_site_fract_z
Er1 0.0000 0.1262 0.2500
Co1 0.1252 0.3836 0.0341
B1 0.0000 0.2133 0.7500
```


| no. | raw total energy (eV per atom) | magnetization (μB/atom) | energy of formation (meV/atom) |
| --- | --- | --- | --- |
| 1 | -6.77 | 0.281 | -375.0 |
| 2 | -6.88 | 0.000 | -105.9 |
| 3 | -6.65 | 0.000 | -282.0 |